Entry 1:
Computed, not measured: crystalline Ac2GaTcGe6 at its relaxed geometry at the PBE level of DFT.

Summary:
The value obtained for the total magnetic moment is 0.00 μB per cell. The crystal system is trigonal. The energy of formation from the pure elements is -0.3020 eV/atom.

Cell lengths 6.5281, 6.5281, 36.2494 Å; angles 90.00, 90.00, 120.00 degrees
With the nearest neighbours (Å) after each atom.
Space group R-3m (No. 166, hexagonal axes)
One atom of each set of equivalent atoms:
Ac 0.0000 0.0000 0.1104 x6  12 Ge 3.40-3.54
Ac 0.0000 0.0000 0.2881 x6  12 Ge 3.29-3.56
Ga 0.0000 0.0000 0.4277 x6  6 Ge 2.61-2.71, 1 Tc 2.62
Tc 0.0000 0.0000 0.0000 x3  6 Ge 2.56
Tc 0.0000 0.0000 0.5000 x3  6 Ge 2.57, 2 Ga 2.62
Ge 0.0529 0.5264 0.2962 x18  1 Tc 2.56, 1 Ga 2.61, 2 Ge 2.75
Ge 0.0707 0.5354 0.8655 x18  1 Tc 2.57, 2 Ge 2.57, 1 Ga 2.71

Entry 2:
Computed, not measured: crystalline NdHoZr2 at its relaxed geometry at the PBE level of DFT.

Summary:
The value obtained for the total magnetic moment is 0.00 μB per cell. The crystal system is tetragonal. As for the excess energy over the best structure of this formula in the dataset: 72.3 meV per atom. The energy of formation from the pure elements is 0.2321 eV/atom.

Cell lengths 3.9628, 3.9628, 6.9574 Å; angles 90.00, 90.00, 90.00 degrees
With the nearest neighbours (Å) after each atom.
Space group P4/mmm (No. 123)
One atom of each set of equivalent atoms:
Nd 0.0000 0.0000 0.0000 x1  8 Zr 3.40, 2 Ho 3.48
Ho 0.0000 0.0000 0.5000 x1  8 Zr 3.21, 2 Nd 3.48
Zr 0.5000 0.5000 0.2763 x2  1 Zr 3.11, 4 Ho 3.21, 4 Nd 3.40

Entry 3:
Computed, not measured: crystalline HgAu2Cl at its relaxed geometry at the PBE level of DFT.

Summary:
The energy relative to the elements, uncorrected is 0.5 kJ per mole of atoms. The value obtained for the total magnetic moment is 0.00 μB per cell. The crystal system is monoclinic. As for the excess energy over the best structure of this formula in the dataset: 38.3 meV per atom.

Cell lengths 9.9468, 3.4354, 7.6430 Å; angles 90.00, 124.70, 90.00 degrees
With the nearest neighbours (Å) after each atom.
Space group C2/m (No. 12)
One atom of each set of equivalent atoms:
Hg 0.0000 0.0000 0.0000 x2  6 Au 2.95-2.98
Au 0.1509 0.5000 0.8369 x4  2 Cl 2.73, 2 Au 2.73, 3 Hg 2.95-2.98
Cl 0.0000 0.0000 0.5000 x2  4 Au 2.73

Entry 4:
Computed, not measured: crystalline MgSiTc2 at its relaxed geometry at the PBE level of DFT.

Summary:
The energy relative to the elements, uncorrected is -11.1 kJ per mole of atoms. The value obtained for the total magnetic moment is 0.00 μB per cell. The crystal system is tetragonal. As for the excess energy over the best structure of this formula in the dataset: 2.0 meV per atom.

Cell lengths 3.0580, 3.0580, 6.3940 Å; angles 90.00, 90.00, 90.00 degrees
With the nearest neighbours (Å) after each atom.
Space group P4/mmm (No. 123)
One atom of each set of equivalent atoms:
Mg 0.0000 0.0000 0.0000 x1  8 Tc 2.88, 4 Mg 3.06, 2 Si 3.20
Si 0.0000 0.0000 0.5000 x1  8 Tc 2.52
Tc 0.5000 0.5000 0.2966 x2  4 Si 2.52, 1 Tc 2.60

Entry 5:
Computed, not measured: crystalline PrErO3 at its relaxed geometry at the PBE level of DFT.

Summary:
The energy relative to the elements, uncorrected is -295.1 kJ per mole of atoms. The value obtained for the total magnetic moment is 0.00 μB per cell. The crystal system is orthorhombic.

Cell lengths 5.9013, 12.8573, 4.1236 Å; angles 90.00, 90.00, 90.00 degrees
With the nearest neighbours (Å) after each atom.
Space group Cmmm (No. 65)
One atom of each set of equivalent atoms:
Pr 0.0000 0.1595 0.0000 x4  1 O 2.25
Er 0.0000 0.3805 0.5000 x4  6 O 2.14-2.23
O 0.0000 0.3348 0.0000 x4  2 Er 2.14, 1 Pr 2.25
O 0.2319 0.0000 0.5000 x4  2 Er 2.21
O 0.2500 0.2500 0.5000 x4  2 Er 2.23

Entry 6:
Computed, not measured: crystalline LaNd8Ga6 at its relaxed geometry at the PBE level of DFT.

Summary:
The value obtained for the total magnetic moment is 0.00 μB per cell. The crystal system is trigonal. The energy of formation from the pure elements is -0.3549 eV/atom.

Cell lengths 8.9560, 8.9560, 18.9427 Å; angles 90.00, 90.00, 120.00 degrees
With the nearest neighbours (Å) after each atom.
Space group R-3 (No. 148, hexagonal axes)
One atom of each set of equivalent atoms:
La 0.0000 0.0000 0.0000 x3  6 Ga 3.20
Nd 0.0000 0.0000 0.3326 x6  6 Ga 3.15-3.16
Nd 0.0011 0.6696 0.1134 x18  5 Ga 3.10-3.22
Ga 0.0002 0.3375 0.0563 x18  7 Nd 3.10-3.22, 1 La 3.20

Entry 7:
Computed, not measured: crystalline LaHf2Co2 at its relaxed geometry at the PBE level of DFT.

Summary:
The value obtained for the total magnetic moment is 0.00 μB per cell. The crystal system is tetragonal. As for the excess energy over the best structure of this formula in the dataset: 280.2 meV per atom. The energy of formation from the pure elements is 0.0531 eV/atom.

Cell lengths 4.6168, 4.6168, 10.1643 Å; angles 90.00, 90.00, 90.00 degrees
With the nearest neighbours (Å) after each atom.
Space group I4/mmm (No. 139)
One atom of each set of equivalent atoms:
La 0.0000 0.0000 0.0000 x2  8 Co 3.43, 10 Hf 3.44-3.66
Hf 0.0000 0.0000 0.3380 x4  4 Co 2.48
Co 0.0000 0.5000 0.2500 x4  4 Hf 2.48

Entry 8:
Computed, not measured: crystalline ZrGaI3 at its relaxed geometry at the PBE level of DFT.

Summary:
The energy relative to the elements, uncorrected is -24.2 kJ per mole of atoms. The value obtained for the total magnetic moment is 0.00 μB per cell. The crystal system is cubic. As for the excess energy over the best structure of this formula in the dataset: 0.0 meV per atom.

Cell lengths 5.7802, 5.7802, 5.7802 Å; angles 90.00, 90.00, 90.00 degrees
With the nearest neighbours (Å) after each atom.
Space group Pm-3m (No. 221)
One atom of each set of equivalent atoms:
Zr 0.0000 0.0000 0.0000 x1  6 I 2.89
Ga 0.5000 0.5000 0.5000 x1  12 I 4.09
I 0.0000 0.0000 0.5000 x3  2 Zr 2.89